[1]
Density functional theory data (PBE) for a relaxed structure of RbAs3Br.

Structure (POSCAR):
```
RbAs3Br
1.0
5.345 0.000 0.000
0.000 5.345 0.000
0.000 0.000 5.345
Rb As Br
1 3 1
direct
0.000 0.000 0.000 Rb
0.000 0.500 0.500 As
0.500 0.000 0.500 As
0.500 0.500 0.000 As
0.500 0.500 0.500 Br
```

The formation energy (no corrections) is 3.66 eV/f.u. The total magnetic moment comes out at 0.00 μB per formula unit.

[2]
Density functional theory data (PBE) for a relaxed structure of RbAs4Br12.

Structure (POSCAR):
```
RbAs4Br12
1.0
-5.199 5.199 5.199
5.199 -5.199 5.199
5.199 5.199 -5.199
Rb As Br
1 4 12
direct
0.000 0.000 0.000 Rb
0.000 0.000 0.500 As
0.000 0.500 0.000 As
0.500 0.000 0.000 As
0.500 0.500 0.500 As
0.096 0.294 0.802 Br
0.198 0.492 0.294 Br
0.198 0.904 0.706 Br
0.294 0.198 0.492 Br
0.294 0.802 0.096 Br
0.492 0.294 0.198 Br
0.508 0.706 0.802 Br
0.706 0.198 0.904 Br
0.706 0.802 0.508 Br
0.802 0.096 0.294 Br
0.802 0.508 0.706 Br
0.904 0.706 0.198 Br
```

The formation energy (no corrections) is -7.66 eV/f.u. The total magnetic moment comes out at 0.00 μB per formula unit.

[3]
Density functional theory data (PBE) for a relaxed structure of Rb3AsBr6.

Structure (POSCAR):
```
Rb3AsBr6
1.0
8.031 0.000 0.000
0.000 8.468 0.000
-7.881 0.000 11.554
Rb As Br
6 2 12
direct
0.000 0.000 0.000 Rb
0.000 0.500 0.500 Rb
0.279 0.076 0.753 Rb
0.279 0.424 0.253 Rb
0.721 0.576 0.747 Rb
0.721 0.924 0.247 Rb
0.500 0.000 0.500 As
0.500 0.500 0.000 As
0.173 0.035 0.283 Br
0.173 0.465 0.783 Br
0.282 0.670 0.054 Br
0.282 0.830 0.554 Br
0.401 0.232 0.062 Br
0.401 0.268 0.562 Br
0.599 0.732 0.438 Br
0.599 0.768 0.938 Br
0.718 0.170 0.446 Br
0.718 0.330 0.946 Br
0.827 0.535 0.217 Br
0.827 0.965 0.717 Br
```

The formation energy (no corrections) is -12.29 eV/f.u. The total magnetic moment comes out at 0.00 μB per formula unit.

[4]
Density functional theory data (PBE) for a relaxed structure of Rb2As2Br.

Structure (POSCAR):
```
Rb2As2Br
1.0
9.157 0.000 0.000
0.000 9.157 0.000
0.000 0.000 4.577
Rb As Br
4 4 2
direct
0.205 0.295 0.000 Rb
0.295 0.795 0.000 Rb
0.705 0.205 0.000 Rb
0.795 0.705 0.000 Rb
0.085 0.585 0.500 As
0.415 0.085 0.500 As
0.585 0.915 0.500 As
0.915 0.415 0.500 As
0.000 0.000 0.500 Br
0.500 0.500 0.500 Br
```

The formation energy (no corrections) is -3.13 eV/f.u. The total magnetic moment comes out at 0.00 μB per formula unit.

Copy entry 1 word for word.
Density functional theory data (PBE) for a relaxed structure of RbAs3Br.

Structure (POSCAR):
```
RbAs3Br
1.0
5.345 0.000 0.000
0.000 5.345 0.000
0.000 0.000 5.345
Rb As Br
1 3 1
direct
0.000 0.000 0.000 Rb
0.000 0.500 0.500 As
0.500 0.000 0.500 As
0.500 0.500 0.000 As
0.500 0.500 0.500 Br
```

The formation energy (no corrections) is 3.66 eV/f.u. The total magnetic moment comes out at 0.00 μB per formula unit.